1.
Crystalline HgOsF2 at its relaxed geometry. Source: Alexandria, functional GGA-PBE.

a b c (Å): 4.385 4.385 4.385
angles (deg): 60.00 60.00 60.00
Atoms (fractional coordinates):
Hg  0.500  0.500  0.500
F  0.250  0.250  0.250
F  0.750  0.750  0.750
Os  0.000  0.000  0.000

Properties
Uncorrected formation energy: 1.15 eV/f.u.
DOS(E_F): 1.93 states/eV/cell
Symmetry: No. 225
Crystal system: cubic



2.
Crystalline TlIn6Bi at its relaxed geometry. Source: Alexandria, functional GGA-PBE.

a b c (Å): 5.201 9.797 6.643
angles (deg): 137.51 90.00 90.00
Atoms (fractional coordinates):
In  0.000  0.367  0.733
In  0.500  0.125  0.750
In  0.500  0.128  0.256
In  0.000  0.379  0.250
In  0.500  0.625  0.750
In  0.000  0.871  0.250
Bi  0.000  0.884  0.768
Tl  0.500  0.622  0.244

Properties
DOS(E_F): 4.42 states/eV/cell
Calculated total energy: -22.52 eV for the cell shown
Symmetry: No. 38
Crystal system: orthorhombic